Record 1
# PBE-GGA NdY2Pd3, optimized geometry
data_NdY2Pd3
_chemical_formula_sum 'Nd2 Y4 Pd6'
_symmetry_space_group_name_H-M 'P 1'
_symmetry_Int_Tables_number 1
_symmetry_space_group_name_Hall 'P 1'
_cell_length_a 3.4722
_cell_length_b 5.0695
_cell_length_c 15.2912
_cell_angle_alpha 90.00
_cell_angle_beta 90.00
_cell_angle_gamma 90.00
loop_
_atom_site_label
_atom_site_fract_x
_atom_site_fract_y
_atom_site_fract_z
_atom_site_occupancy
Nd1 0.0005 0.5000 0.5000 1
Pd1 0.4998 0.0000 0.1738 1
Pd2 0.5002 0.5000 0.3262 1
Y1 0.9998 0.5000 0.8326 1
Y2 0.0002 0.0000 0.3326 1
Y3 0.0002 0.0000 0.6674 1
Pd3 0.5002 0.5000 0.6738 1
Y4 0.9998 0.5000 0.1674 1
Nd2 0.9995 0.0000 0.0000 1
Pd4 0.4993 0.5000 0.0000 1
Pd5 0.4998 0.0000 0.8262 1
Pd6 0.5007 0.0000 0.5000 1
# **E_form**: -0.83 eV per atom
# **Space-group type**: Cmmm, No. 65
# **Magnetic moment**: 0.000 μB per atom
# **E_tot**: -6.37 eV per atom


Record 2
# PBE-GGA NdY4Pd5, optimized geometry
data_NdY4Pd5
_chemical_formula_sum 'Nd1 Y4 Pd5'
_symmetry_space_group_name_H-M 'P 1'
_symmetry_Int_Tables_number 1
_symmetry_space_group_name_Hall 'P 1'
_cell_length_a 3.4999
_cell_length_b 3.4999
_cell_length_c 18.0814
_cell_angle_alpha 90.00
_cell_angle_beta 90.00
_cell_angle_gamma 90.00
loop_
_atom_site_label
_atom_site_fract_x
_atom_site_fract_y
_atom_site_fract_z
_atom_site_occupancy
Y1 0.0000 0.0000 0.7958 1
Y2 0.0000 0.0000 0.4015 1
Pd1 0.5000 0.5000 0.5000 1
Pd2 0.5000 0.5000 0.8912 1
Y3 0.0000 0.0000 0.2042 1
Pd3 0.5000 0.5000 0.1088 1
Pd4 0.5000 0.5000 0.6970 1
Y4 0.0000 0.0000 0.5985 1
Nd1 0.0000 0.0000 0.0000 1
Pd5 0.5000 0.5000 0.3030 1
# **E_form**: -0.84 eV per atom
# **Space-group type**: P4/mmm, No. 123
# **Magnetic moment**: 0.000 μB per atom
# **E_tot**: -6.50 eV per atom


Record 3
# PBE-GGA NdYPd2, optimized geometry
data_NdYPd2
_chemical_formula_sum 'Nd1 Y1 Pd2'
_symmetry_space_group_name_H-M 'P 1'
_symmetry_Int_Tables_number 1
_symmetry_space_group_name_Hall 'P 1'
_cell_length_a 3.4879
_cell_length_b 5.1100
_cell_length_c 5.1100
_cell_angle_alpha 90.00
_cell_angle_beta 90.00
_cell_angle_gamma 90.00
loop_
_atom_site_label
_atom_site_fract_x
_atom_site_fract_y
_atom_site_fract_z
_atom_site_occupancy
Nd1 0.5000 0.5000 0.5000 1
Pd1 0.0000 0.5000 0.0000 1
Y1 0.5000 0.0000 0.0000 1
Pd2 0.0000 0.0000 0.5000 1
# **E_form**: -0.80 eV per atom
# **Space-group type**: P4/mmm, No. 123
# **Magnetic moment**: 0.000 μB per atom
# **Energy above the lowest structure with this stoichiometry**: 0.21 eV/f.u.
# **E_tot**: -6.20 eV per atom


Record 4
# PBE-GGA NdYPd2, optimized geometry
data_NdYPd2
_chemical_formula_sum 'Nd1 Y1 Pd2'
_symmetry_space_group_name_H-M 'P 1'
_symmetry_Int_Tables_number 1
_symmetry_space_group_name_Hall 'P 1'
_cell_length_a 3.8342
_cell_length_b 4.6012
_cell_length_c 5.7012
_cell_angle_alpha 90.00
_cell_angle_beta 109.68
_cell_angle_gamma 90.00
loop_
_atom_site_label
_atom_site_fract_x
_atom_site_fract_y
_atom_site_fract_z
_atom_site_occupancy
Pd1 0.9986 0.0000 0.5362 1
Pd2 0.1691 0.5000 0.8772 1
Nd1 0.4447 0.5000 0.4280 1
Y1 0.7185 0.0000 0.9765 1
# **E_form**: -0.85 eV per atom
# **Space-group type**: Amm2, No. 38
# **Magnetic moment**: 0.000 μB per atom
# **Energy above the lowest structure with this stoichiometry**: 0.00 eV/f.u.
# **E_tot**: -6.26 eV per atom


Record 5
# PBE-GGA Nd4Y3Pd4, optimized geometry
data_Nd4Y3Pd4
_chemical_formula_sum 'Nd4 Y3 Pd4'
_symmetry_space_group_name_H-M 'P 1'
_symmetry_Int_Tables_number 1
_symmetry_space_group_name_Hall 'P 1'
_cell_length_a 3.8973
_cell_length_b 9.5657
_cell_length_c 9.4907
_cell_angle_alpha 120.26
_cell_angle_beta 101.85
_cell_angle_gamma 90.00
loop_
_atom_site_label
_atom_site_fract_x
_atom_site_fract_y
_atom_site_fract_z
_atom_site_occupancy
Nd1 0.6589 0.8453 0.3178 1
Nd2 0.3411 0.5275 0.6822 1
Nd3 0.3411 0.1547 0.6822 1
Pd1 0.5000 0.1546 0.0000 1
Y1 0.8903 0.8903 0.7806 1
Pd2 0.7551 0.2551 0.5102 1
Pd3 0.2449 0.7449 0.4898 1
Y2 0.0000 0.5000 0.0000 1
Nd4 0.6589 0.4725 0.3178 1
Y3 0.1097 0.1097 0.2194 1
Pd4 0.5000 0.8454 0.0000 1
# **E_form**: -0.52 eV per atom
# **Space-group type**: Immm, No. 71
# **Magnetic moment**: 0.000 μB per atom
# **E_tot**: -5.90 eV per atom


Record 6
# PBE-GGA Nd3YPd12, optimized geometry
data_Nd3YPd12
_chemical_formula_sum 'Nd3 Y1 Pd12'
_symmetry_space_group_name_H-M 'P 1'
_symmetry_Int_Tables_number 1
_symmetry_space_group_name_Hall 'P 1'
_cell_length_a 4.1787
_cell_length_b 4.1787
_cell_length_c 16.8070
_cell_angle_alpha 90.00
_cell_angle_beta 90.00
_cell_angle_gamma 90.00
loop_
_atom_site_label
_atom_site_fract_x
_atom_site_fract_y
_atom_site_fract_z
_atom_site_occupancy
Pd1 0.0000 0.5000 0.6260 1
Y1 0.0000 0.0000 0.0000 1
Pd2 0.5000 0.0000 0.6260 1
Pd3 0.5000 0.5000 0.7518 1
Pd4 0.0000 0.5000 0.1215 1
Nd1 0.0000 0.0000 0.5000 1
Pd5 0.0000 0.5000 0.8785 1
Nd2 0.0000 0.0000 0.2475 1
Pd6 0.0000 0.5000 0.3740 1
Pd7 0.5000 0.5000 0.2482 1
Pd8 0.5000 0.5000 0.0000 1
Pd9 0.5000 0.0000 0.3740 1
Nd3 0.0000 0.0000 0.7525 1
Pd10 0.5000 0.0000 0.1215 1
Pd11 0.5000 0.0000 0.8785 1
Pd12 0.5000 0.5000 0.5000 1
# **E_form**: -0.79 eV per atom
# **Space-group type**: P4/mmm, No. 123
# **Magnetic moment**: 0.000 μB per atom
# **E_tot**: -5.98 eV per atom


Record 7
# PBE-GGA NdYPd6, optimized geometry
data_NdYPd6
_chemical_formula_sum 'Nd1 Y1 Pd6'
_symmetry_space_group_name_H-M 'P 1'
_symmetry_Int_Tables_number 1
_symmetry_space_group_name_Hall 'P 1'
_cell_length_a 4.1732
_cell_length_b 4.1732
_cell_length_c 8.3241
_cell_angle_alpha 90.00
_cell_angle_beta 90.00
_cell_angle_gamma 90.00
loop_
_atom_site_label
_atom_site_fract_x
_atom_site_fract_y
_atom_site_fract_z
_atom_site_occupancy
Y1 0.0000 0.0000 0.5000 1
Pd1 0.5000 0.0000 0.7450 1
Pd2 0.5000 0.0000 0.2550 1
Pd3 0.5000 0.5000 0.0000 1
Nd1 0.0000 0.0000 0.0000 1
Pd4 0.5000 0.5000 0.5000 1
Pd5 0.0000 0.5000 0.7450 1
Pd6 0.0000 0.5000 0.2550 1
# **E_form**: -0.80 eV per atom
# **Space-group type**: P4/mmm, No. 123
# **Magnetic moment**: 0.000 μB per atom
# **E_tot**: -6.10 eV per atom


Record 8
# PBE-GGA NdYPd2, optimized geometry
data_NdYPd2
_chemical_formula_sum 'Nd1 Y1 Pd2'
_symmetry_space_group_name_H-M 'P 1'
_symmetry_Int_Tables_number 1
_symmetry_space_group_name_Hall 'P 1'
_cell_length_a 4.1699
_cell_length_b 4.1699
_cell_length_c 7.1394
_cell_angle_alpha 73.02
_cell_angle_beta 73.02
_cell_angle_gamma 60.00
loop_
_atom_site_label
_atom_site_fract_x
_atom_site_fract_y
_atom_site_fract_z
_atom_site_occupancy
Y1 0.0000 0.0000 0.0000 1
Pd1 0.2534 0.2534 0.2398 1
Pd2 0.7466 0.7466 0.7602 1
Nd1 0.5000 0.5000 0.5000 1
# **E_form**: -0.69 eV per atom
# **Space-group type**: R-3m, No. 166
# **Magnetic moment**: 0.000 μB per atom
# **Energy above the lowest structure with this stoichiometry**: 0.63 eV/f.u.
# **E_tot**: -6.10 eV per atom


Record 9
# PBE-GGA NdYPd3, optimized geometry
data_NdYPd3
_chemical_formula_sum 'Nd2 Y2 Pd6'
_symmetry_space_group_name_H-M 'P 1'
_symmetry_Int_Tables_number 1
_symmetry_space_group_name_Hall 'P 1'
_cell_length_a 5.3286
_cell_length_b 5.6437
_cell_length_c 7.4197
_cell_angle_alpha 90.00
_cell_angle_beta 104.72
_cell_angle_gamma 90.00
loop_
_atom_site_label
_atom_site_fract_x
_atom_site_fract_y
_atom_site_fract_z
_atom_site_occupancy
Pd1 0.5000 0.0000 0.0000 1
Pd2 0.2315 0.2500 0.2457 1
Y1 0.2330 0.7500 0.6401 1
Nd1 0.9203 0.2500 0.8480 1
Pd3 0.5000 0.5000 0.0000 1
Pd4 0.3410 0.2500 0.6336 1
Nd2 0.0797 0.7500 0.1520 1
Pd5 0.7685 0.7500 0.7543 1
Y2 0.7670 0.2500 0.3599 1
Pd6 0.6590 0.7500 0.3664 1
# **E_form**: -0.76 eV per atom
# **Space-group type**: P2_1/m, No. 11
# **Magnetic moment**: 0.000 μB per atom
# **E_tot**: -6.12 eV per atom


Record 10
# PBE-GGA Nd4YPd2, optimized geometry
data_Nd4YPd2
_chemical_formula_sum 'Nd4 Y1 Pd2'
_symmetry_space_group_name_H-M 'P 1'
_symmetry_Int_Tables_number 1
_symmetry_space_group_name_Hall 'P 1'
_cell_length_a 4.1082
_cell_length_b 4.1082
_cell_length_c 15.5131
_cell_angle_alpha 82.39
_cell_angle_beta 82.39
_cell_angle_gamma 60.00
loop_
_atom_site_label
_atom_site_fract_x
_atom_site_fract_y
_atom_site_fract_z
_atom_site_occupancy
Pd1 0.5981 0.5981 0.2057 1
Pd2 0.4019 0.4019 0.7943 1
Nd1 0.8948 0.8948 0.3156 1
Y1 0.5000 0.5000 0.5000 1
Nd2 0.3010 0.3010 0.0970 1
Nd3 0.1052 0.1052 0.6844 1
Nd4 0.6990 0.6990 0.9030 1
# **E_form**: -0.28 eV per atom
# **Space-group type**: R-3m, No. 166
# **Magnetic moment**: 0.000 μB per atom
# **E_tot**: -5.41 eV per atom


Record 11
# PBE-GGA NdY4Pd2, optimized geometry
data_NdY4Pd2
_chemical_formula_sum 'Nd1 Y4 Pd2'
_symmetry_space_group_name_H-M 'P 1'
_symmetry_Int_Tables_number 1
_symmetry_space_group_name_Hall 'P 1'
_cell_length_a 3.9218
_cell_length_b 3.9218
_cell_length_c 15.7141
_cell_angle_alpha 82.83
_cell_angle_beta 82.83
_cell_angle_gamma 60.00
loop_
_atom_site_label
_atom_site_fract_x
_atom_site_fract_y
_atom_site_fract_z
_atom_site_occupancy
Y1 0.8956 0.8956 0.3132 1
Y2 0.6979 0.6979 0.9064 1
Pd1 0.5988 0.5988 0.2035 1
Pd2 0.4012 0.4012 0.7965 1
Y3 0.1044 0.1044 0.6868 1
Y4 0.3021 0.3021 0.0936 1
Nd1 0.5000 0.5000 0.5000 1
# **E_form**: -0.37 eV per atom
# **Space-group type**: R-3m, No. 166
# **Magnetic moment**: 0.000 μB per atom
# **E_tot**: -6.23 eV per atom